Here is a relaxed CuTcPd2 crystal from Alexandria via LeMat-Bulk. Energies are from PBE.

Calculated values
D(E_F): 4.64 states/eV per cell
energy relative to the lowest polymorph listed for this composition: 45 meV per atom
E_form: 0.10 eV per formula unit

Unit cell a=8.937 b=8.937 c=8.937 alpha=17.70 beta=17.70 gamma=17.70
Sites, in units of the cell vectors:
Cu (0.000, 0.000, 0.000)
Tc (0.500, 0.500, 0.500)
Pd (0.252, 0.252, 0.252)
Pd (0.748, 0.748, 0.748)